Entry 1:
First-principles (PBE) data for a relaxed structure of PrHo6Er3Th2, as listed in Alexandria.

The raw total energy comes out at -5.0284 eV per atom. The density comes out at 9.19 g/cm3. The calculated volume is 757.22 Å³ per cell.

The space group is C2/m (No. 12) and the conventional cell measures 6.164, 10.664 and 11.702 Å, with angles of 90.00, 100.11 and 90.00 degrees. Symmetry generates all atoms from Pr at (0.000, 0.000, 0.000), Ho at (0.246, 0.500, 0.250), Ho at (0.247, 0.331, 0.750), Er at (0.000, 0.166, 0.500), Er at (0.000, 0.500, 0.500) and Th at (0.000, 0.333, 0.000).



Entry 2:
First-principles (PBE) data for a relaxed structure of Pr3Ho6Er2Th, as listed in Alexandria.

The raw total energy comes out at -4.8410 eV per atom. The density comes out at 8.49 g/cm3. The calculated volume is 773.82 Å³ per cell.

The space group is C2/m (No. 12) and the conventional cell measures 6.197, 10.733 and 11.817 Å, with angles of 90.00, 100.09 and 90.00 degrees. Symmetry generates all atoms from Pr at (0.000, 0.000, 0.000), Pr at (0.000, 0.333, 0.000), Ho at (0.247, 0.335, 0.745), Ho at (0.248, 0.500, 0.255), Er at (0.000, 0.167, 0.500) and Th at (0.000, 0.500, 0.500).



Entry 3:
First-principles (PBE) data for a relaxed structure of PrHo3Er6Th2, as listed in Alexandria.

The raw total energy comes out at -5.0261 eV per atom. The density comes out at 9.27 g/cm3. The calculated volume is 753.47 Å³ per cell.

The space group is C2/m (No. 12) and the conventional cell measures 6.158, 10.656 and 11.665 Å, with angles of 90.00, 100.15 and 90.00 degrees. Symmetry generates all atoms from Pr at (0.000, 0.000, 0.000), Ho at (0.000, 0.166, 0.500), Ho at (0.000, 0.500, 0.500), Er at (0.246, 0.500, 0.250), Er at (0.247, 0.331, 0.750) and Th at (0.000, 0.333, 0.000).



Entry 4:
First-principles (PBE) data for a relaxed structure of PrHoErTh, as listed in Alexandria.

The density comes out at 8.97 g/cm3. The calculated volume is 522.34 Å³ per cell. The value obtained for the polymorph energy (0 for the lowest one) is 11.0 kJ per mole of atoms.

The space group is F-43m (No. 216) and the conventional cell measures 8.054, 8.054 and 8.054 Å, with angles of 90.00, 90.00 and 90.00 degrees. Symmetry generates all atoms from Pr at (0.000, 0.000, 0.000), Ho at (0.250, 0.250, 0.750), Er at (0.250, 0.250, 0.250) and Th at (0.000, 0.000, 0.500).



Entry 5:
First-principles (PBE) data for a relaxed structure of PrHoEr2Th, as listed in Alexandria.

The raw total energy comes out at -4.8604 eV per atom. The density comes out at 8.39 g/cm3. The calculated volume is 172.56 Å³ per cell.

The space group is Pmmm (No. 47) and the conventional cell measures 3.533, 5.631 and 8.675 Å, with angles of 90.00, 90.00 and 90.00 degrees. Symmetry generates all atoms from Pr at (0.000, 0.000, 0.000), Ho at (0.500, 0.000, 0.500), Er at (0.000, 0.500, 0.322) and Th at (0.500, 0.500, 0.000).



Entry 6:
First-principles (PBE) data for a relaxed structure of PrHo2ErTl4, as listed in Alexandria.

The raw total energy comes out at -3.8292 eV per atom. The density comes out at 10.83 g/cm3. The calculated volume is 669.77 Å³ per cell.

The space group is R-3m (No. 166, hexagonal axes) and the conventional cell measures 5.3954, 5.3954 and 26.5673 Å, with angles of 90.00, 90.00 and 120.00 degrees. Symmetry generates all atoms from Pr at (0.0000, 0.0000, 0.0000), Ho at (0.0000, 0.0000, 0.2492), Er at (0.0000, 0.0000, 0.5000), Tl at (0.0000, 0.0000, 0.1271) and Tl at (0.0000, 0.0000, 0.3773).



Entry 7:
First-principles (PBE) data for a relaxed structure of Pr6Ho3Er2Tl, as listed in Alexandria.

The raw total energy comes out at -4.4945 eV per atom. The density comes out at 7.94 g/cm3. The calculated volume is 786.19 Å³ per cell.

The space group is C2/m (No. 12) and the conventional cell measures 6.233, 10.831 and 11.837 Å, with angles of 90.00, 100.28 and 90.00 degrees. Symmetry generates all atoms from Pr at (0.246, 0.000, 0.250), Pr at (0.247, 0.164, 0.748), Ho at (0.000, 0.168, 0.000), Ho at (0.000, 0.500, 0.000), Er at (0.000, 0.334, 0.500) and Tl at (0.000, 0.000, 0.500).



Entry 8:
First-principles (PBE) data for a relaxed structure of Pr6Ho2Er3Tl, as listed in Alexandria.

The raw total energy comes out at -4.4952 eV per atom. The density comes out at 7.97 g/cm3. The calculated volume is 784.43 Å³ per cell.

The space group is C2/m (No. 12) and the conventional cell measures 6.230, 10.808 and 11.836 Å, with angles of 90.00, 100.18 and 90.00 degrees. Symmetry generates all atoms from Pr at (0.245, 0.000, 0.250), Pr at (0.247, 0.164, 0.749), Ho at (0.000, 0.333, 0.500), Er at (0.000, 0.168, 0.000), Er at (0.000, 0.500, 0.000) and Tl at (0.000, 0.000, 0.500).



Entry 9:
First-principles (PBE) data for a relaxed structure of PrHo2ErTl2, as listed in Alexandria.

The raw total energy comes out at -4.1345 eV per atom. The density comes out at 9.86 g/cm3. The calculated volume is 352.56 Å³ per cell.

The space group is Pmc2_1 (No. 26) and the conventional cell measures 5.137, 10.039 and 6.836 Å, with angles of 90.00, 90.00 and 90.00 degrees. Symmetry generates all atoms from Pr at (0.000, 0.043, 0.000), Ho at (0.000, 0.319, 0.380), Ho at (0.500, 0.455, 0.093), Er at (0.500, 0.194, 0.722), Tl at (0.000, 0.368, 0.840) and Tl at (0.500, 0.139, 0.265).



Entry 10:
First-principles (PBE) data for a relaxed structure of PrHoErTl, as listed in Alexandria.

The density comes out at 9.45 g/cm3. The calculated volume is 476.32 Å³ per cell. The value obtained for the polymorph energy (0 for the lowest one) is 13.4 kJ per mole of atoms.

The space group is F-43m (No. 216) and the conventional cell measures 7.810, 7.810 and 7.810 Å, with angles of 90.00, 90.00 and 90.00 degrees. Symmetry generates all atoms from Pr at (0.000, 0.000, 0.000), Ho at (0.250, 0.250, 0.750), Er at (0.000, 0.000, 0.500) and Tl at (0.250, 0.250, 0.250).



Entry 11:
First-principles (PBE) data for a relaxed structure of PrHoErTl, as listed in Alexandria.

The density comes out at 9.59 g/cm3. The calculated volume is 117.37 Å³ per cell. The value obtained for the polymorph energy (0 for the lowest one) is 0.0 kJ per mole of atoms.

The space group is Pmmm (No. 47) and the conventional cell measures 4.835, 4.917 and 4.936 Å, with angles of 90.00, 90.00 and 90.00 degrees. Symmetry generates all atoms from Pr at (0.000, 0.000, 0.000), Ho at (0.500, 0.500, 0.000), Er at (0.500, 0.000, 0.500) and Tl at (0.000, 0.500, 0.500).



Entry 12:
First-principles (PBE) data for a relaxed structure of Pr6HoEr2Tm3, as listed in Alexandria.

The raw total energy comes out at -4.6346 eV per atom. The density comes out at 7.77 g/cm3. The calculated volume is 791.24 Å³ per cell.

The space group is C2/m (No. 12) and the conventional cell measures 6.274, 10.864 and 11.795 Å, with angles of 90.00, 100.19 and 90.00 degrees. Symmetry generates all atoms from Pr at (0.250, 0.000, 0.249), Pr at (0.250, 0.167, 0.751), Ho at (0.000, 0.000, 0.500), Er at (0.000, 0.333, 0.500), Tm at (0.000, 0.167, 0.000) and Tm at (0.000, 0.500, 0.000).